Material: Dy2HoHg
Method: DFT, PBE-GGA
State: relaxed

Unit cell a=3.6338 b=3.6338 c=10.6346 alpha=80.17 beta=80.17 gamma=60.05
Closest atoms and distances in Å follow each position.
Element x y z (fractional)
Dy (0.0768, 0.0768, 0.7704)  3 Hg 3.19, 3 Ho 3.51-3.52
Dy (0.2569, 0.2569, 0.2292)  3 Hg 3.18, 3 Ho 3.51-3.52
Ho (0.4998, 0.4998, 0.4998)  6 Dy 3.51-3.52, 6 Ho 3.63-3.64
Hg (0.6665, 0.6665, 0.0006)  6 Dy 3.18-3.19

Results
- E: -3.68 eV per atom
- Energy relative to the elements: -0.16 eV per atom
- DOS at the Fermi energy: 5.56 states/eV per cell
- Total magnetic moment: 0.24 μB/f.u.
- Crystal system: trigonal
- Calculated density: 9612 kg/m3